# 1
Pm2ErUAs4 | Alexandria via LeMat-Bulk | GGA-PBE | relaxed; uncorrected energy = -54.52 eV for the cell shown; energy of formation = -1321 meV per atom; crystal system = monoclinic
1.0
7.194 0.000 0.000
0.000 4.143 0.000
-2.364 0.000 6.808
Pm Er U As
2 1 1 4
Direct
0.000 0.000 0.000
0.500 0.500 0.000
0.000 0.500 0.500
0.500 0.000 0.500
0.249 0.000 0.738
0.255 0.500 0.262
0.745 0.500 0.738
0.751 0.000 0.262

***

# 2
PmY2ErAs4 | Alexandria via LeMat-Bulk | GGA-PBE | relaxed; uncorrected energy = -53.12 eV for the cell shown; energy of formation = -1534 meV per atom; crystal system = monoclinic
1.0
7.175 0.000 0.000
0.000 4.146 0.000
-2.392 0.000 6.765
Pm Y Er As
1 2 1 4
Direct
0.000 0.000 0.000
0.000 0.500 0.500
0.500 0.000 0.500
0.500 0.500 0.000
0.254 0.000 0.750
0.256 0.500 0.253
0.744 0.500 0.747
0.746 0.000 0.250

***

# 3
Pr2ErAs | Alexandria via LeMat-Bulk | GGA-PBE | relaxed; uncorrected energy = -20.15 eV for the cell shown; energy of formation = -345 meV per atom; crystal system = trigonal
1.0
1.968 1.136 10.412
-1.968 1.136 10.412
0.000 -2.273 10.412
Pr Er As
2 1 1
Direct
0.109 0.109 0.109
0.891 0.891 0.891
0.000 0.000 0.000
0.500 0.500 0.500

***

# 4
PrErAs2 | Alexandria via LeMat-Bulk | GGA-PBE | relaxed; uncorrected energy = -23.97 eV for the cell shown; energy of formation = -1331 meV per atom; crystal system = trigonal; energy relative to the lowest polymorph listed for this composition = 167 meV per atom
1.0
2.081 1.202 7.137
-2.081 1.202 7.137
0.000 -2.403 7.137
Pr Er As
1 1 2
Direct
0.000 0.000 0.000
0.829 0.829 0.829
0.417 0.417 0.417
0.577 0.577 0.577

***

# 5
PrEr5As6 | Alexandria via LeMat-Bulk | GGA-PBE | relaxed; uncorrected energy = -73.55 eV for the cell shown; energy of formation = -1505 meV per atom; crystal system = monoclinic
1.0
3.570 -6.183 0.000
3.570 6.183 0.000
-2.380 0.000 6.731
Pr Er As
1 5 6
Direct
0.000 0.000 0.000
0.165 0.835 0.500
0.333 0.667 0.000
0.500 0.500 0.500
0.667 0.333 0.000
0.835 0.165 0.500
0.085 0.426 0.255
0.256 0.256 0.746
0.426 0.085 0.255
0.574 0.915 0.745
0.744 0.744 0.254
0.915 0.574 0.745

***

# 6
PrErAs | Alexandria via LeMat-Bulk | GGA-PBE | relaxed; uncorrected energy = -33.55 eV for the cell shown; energy of formation = -928 meV per atom; crystal system = tetragonal
1.0
4.358 0.000 0.000
0.000 4.358 0.000
0.000 0.000 8.389
Pr Er As
2 2 2
Direct
0.250 0.250 0.144
0.750 0.750 0.856
0.250 0.750 0.500
0.750 0.250 0.500
0.250 0.250 0.766
0.750 0.750 0.234

***

# 7
PrErAs2 | Alexandria via LeMat-Bulk | GGA-PBE | relaxed; uncorrected energy = -24.63 eV for the cell shown; energy of formation = -1498 meV per atom; crystal system = trigonal; energy relative to the lowest polymorph listed for this composition = 0 meV per atom
1.0
2.101 1.213 6.841
-2.101 1.213 6.841
0.000 -2.426 6.841
Pr Er As
1 1 2
Direct
0.000 0.000 0.000
0.500 0.500 0.500
0.245 0.245 0.245
0.755 0.755 0.755

***

# 8
Pr3ErAs4 | Alexandria via LeMat-Bulk | GGA-PBE | relaxed; uncorrected energy = -49.35 eV for the cell shown; energy of formation = -1481 meV per atom; crystal system = cubic; energy relative to the lowest polymorph listed for this composition = 9 meV per atom
1.0
6.018 0.000 0.000
0.000 6.018 0.000
0.000 0.000 6.018
Pr Er As
3 1 4
Direct
0.000 0.000 0.500
0.000 0.500 0.000
0.500 0.000 0.000
0.500 0.500 0.500
0.000 0.000 0.000
0.000 0.500 0.500
0.500 0.000 0.500
0.500 0.500 0.000

***

# 9
Pr3ErAs4 | Alexandria via LeMat-Bulk | GGA-PBE | relaxed; uncorrected energy = -49.42 eV for the cell shown; energy of formation = -1491 meV per atom; crystal system = orthorhombic; energy relative to the lowest polymorph listed for this composition = 0 meV per atom
1.0
4.253 -6.014 0.000
4.253 6.014 0.000
0.000 0.000 4.258
Pr Er As
3 1 4
Direct
0.000 0.000 0.000
0.000 0.500 0.500
0.500 0.000 0.500
0.500 0.500 0.000
0.255 0.745 0.000
0.259 0.259 0.500
0.741 0.741 0.500
0.745 0.255 0.000

***

# 10
Pr5Er3As8 | Alexandria via LeMat-Bulk | GGA-PBE | relaxed; uncorrected energy = -98.65 eV for the cell shown; energy of formation = -1491 meV per atom; crystal system = trigonal
1.0
4.227 2.440 6.897
-4.227 2.440 6.897
0.000 -4.881 6.897
Pr Er As
5 3 8
Direct
0.000 0.000 0.000
0.000 0.500 0.500
0.500 0.000 0.500
0.500 0.500 0.000
0.500 0.500 0.500
0.000 0.000 0.500
0.000 0.500 0.000
0.500 0.000 0.000
0.241 0.750 0.750
0.245 0.245 0.245
0.250 0.250 0.759
0.250 0.759 0.250
0.750 0.241 0.750
0.750 0.750 0.241
0.755 0.755 0.755
0.759 0.250 0.250

***

# 11
PrErAs | Alexandria via LeMat-Bulk | GGA-PBE | relaxed; uncorrected energy = -15.77 eV for the cell shown; energy of formation = -591 meV per atom; crystal system = trigonal
1.0
4.696 0.000 0.000
-2.348 4.067 0.000
0.000 0.000 4.497
Pr Er As
1 1 1
Direct
0.000 0.000 0.000
0.667 0.333 0.497
0.333 0.667 0.666

***

# 12
Pr2Er3PuAs6 | Alexandria via LeMat-Bulk | GGA-PBE | relaxed; uncorrected energy = -82.40 eV for the cell shown; energy of formation = -1410 meV per atom; crystal system = monoclinic
1.0
9.071 -2.087 0.000
9.071 2.087 0.000
-1.896 0.000 8.111
Pr Er Pu As
2 3 1 6
Direct
0.166 0.166 0.334
0.834 0.834 0.666
0.168 0.168 0.834
0.500 0.500 0.500
0.832 0.832 0.166
0.500 0.500 0.000
0.004 0.004 0.752
0.333 0.333 0.926
0.336 0.336 0.408
0.664 0.664 0.592
0.667 0.667 0.074
0.996 0.996 0.248